Computed, not measured: an optimized crystal structure of SiHgAu2 at the PBE level of DFT.

It has space group F-43m (No. 216), with a = 6.734 Å, b = 6.734 Å, c = 6.734 Å, α = 90.00°, β = 90.00° and γ = 90.00°. Symmetry generates all atoms from Si at (0.000, 0.000, 0.000), Hg at (0.250, 0.250, 0.250), Au at (0.000, 0.000, 0.500) and Au at (0.250, 0.250, 0.750).

***

Computed, not measured: an optimized crystal structure of PrNdB2Ir2N2 at the PBE level of DFT.

It has space group P4mm (No. 99), with a = 3.824 Å, b = 3.824 Å, c = 7.609 Å, α = 90.00°, β = 90.00° and γ = 90.00°. Symmetry generates all atoms from Pr at (0.000, 0.000, 0.000), Nd at (0.500, 0.500, 0.665), B at (0.000, 0.000, 0.482), B at (0.500, 0.500, 0.183), Ir at (0.000, 0.500, 0.333), N at (0.000, 0.000, 0.678) and N at (0.500, 0.500, 0.986).

Its total magnetization is 0.000 μB/atom.

***

Computed, not measured: an optimized crystal structure of Ho2Sc2BBr5 at the PBE level of DFT.

It has space group C2/m (No. 12), with a = 17.772 Å, b = 3.796 Å, c = 8.119 Å, α = 90.00°, β = 102.68° and γ = 90.00°. Symmetry generates all atoms from Ho at (0.001, 0.000, 0.292), Sc at (0.134, 0.500, 0.569), B at (0.000, 0.500, 0.500), Br at (0.000, 0.500, 0.000), Br at (0.165, 0.000, 0.820) and Br at (0.169, 0.000, 0.346).

Its total magnetization is 0.001 μB/atom.

***

Number 1: E -2.730 eV per atom. Number 2: E -8.237 eV per atom. Number 3: E -5.065 eV per atom.